# LaTlV2O8 PBE+U optimized geometry
data_LaTlV2O8
_chemical_formula_sum 'La1 Tl1 V2 O8'
_space_group_name_H-M_alt 'P -3 m 1'
_space_group_IT_number 164
_space_group_name_Hall '-P 3 2"'
_cell_length_a 5.9161
_cell_length_b 5.9161
_cell_length_c 6.6652
_cell_angle_alpha 90.00
_cell_angle_beta 90.00
_cell_angle_gamma 120.00
loop_
_atom_site_label
_atom_site_fract_x
_atom_site_fract_y
_atom_site_fract_z
_atom_site_occupancy
La1 0.0000 0.0000 0.0000 1
Tl1 0.0000 0.0000 0.5000 1
V1 0.3333 0.6667 0.3408 1
O1 0.1663 0.3325 0.2585 1
O2 0.3333 0.6667 0.5854 1
# - Crystal system: trigonal
# - E_tot: -85.04 eV/f.u.
# - Fermi-level density of states: 0.00 states/eV/cell